(1)
Crystalline Li4Co3Ni3O12 at its relaxed geometry, computed with GGA+U.

Calculated values
Total magnetic moment   7.000 μB/cell
VASP energy   -115.81 eV per cell

a = 6.485 Å, b = 5.861 Å, c = 5.813 Å
α = 88.75°, β = 103.16°, γ = 76.12°
Site moments in Bohr magnetons follow the coordinates.
Positions (direct):
O 0.643 0.577 0.926  -0.04
O 0.973 0.236 0.261  0.00
O 0.318 0.900 0.600  -0.02
O 0.351 0.442 0.608  -0.11
O 0.674 0.116 0.927  -0.09
O 0.324 0.885 0.061  -0.07
O 0.361 0.430 0.073  0.00
O 0.009 0.781 0.272  -0.07
O 0.016 0.767 0.733  -0.02
O 0.690 0.090 0.408  -0.04
O 0.659 0.550 0.407  -0.09
O 0.982 0.225 0.725  -0.11
Li 0.667 0.833 0.667  0.00
Li 0.667 0.833 0.167  0.01
Li 0.010 0.493 0.490  0.01
Li 0.324 0.174 0.844  0.01
Co 0.333 0.665 0.834  1.08
Co 0.667 0.333 0.167  1.11
Co 0.000 0.001 0.499  1.08
Ni 0.330 0.664 0.332  1.59
Ni 0.667 0.333 0.667  1.28
Ni 0.003 0.003 0.001  1.59

=====

(2)
Crystalline Li3Co2NiO6 at its relaxed geometry, computed with GGA+U.

Calculated values
Total magnetic moment   0.990 μB/cell
E above lowest polymorph   0.26 kcal/mol of atoms
VASP energy   -64.83 eV per cell

a = 2.857 Å, b = 2.857 Å, c = 14.280 Å
α = 90.00°, β = 90.00°, γ = 120.00°
Site moments in Bohr magnetons follow the coordinates.
Positions (direct):
O 0.000 0.000 0.736  -0.01
O 0.333 0.667 0.407  0.00
O 0.667 0.333 0.593  0.00
O 0.000 0.000 0.264  -0.01
O 0.667 0.333 0.077  -0.15
O 0.333 0.667 0.923  -0.15
Li 0.333 0.667 0.170  0.01
Li 0.000 0.000 0.500  0.00
Li 0.667 0.333 0.830  0.01
Co 0.667 0.333 0.335  -0.01
Co 0.333 0.667 0.665  -0.01
Ni 0.000 0.000 0.000  1.37

=====

(3)
Crystalline Li10CoNi9O20 at its relaxed geometry, computed with GGA+U.

Calculated values
Total magnetic moment   8.982 μB/cell
E above lowest polymorph   0.25 kcal/mol of atoms
VASP energy   -197.71 eV per cell

a = 2.926 Å, b = 11.135 Å, c = 11.721 Å
α = 114.10°, β = 89.99°, γ = 97.41°
Site moments in Bohr magnetons follow the coordinates.
Positions (direct):
Ni 0.820 0.600 0.599  1.08
Ni 0.201 0.401 0.898  1.14
Ni 0.415 0.799 0.799  1.07
Ni 0.796 0.601 0.100  1.09
Ni 0.176 0.399 0.401  1.08
Ni 0.393 0.800 0.300  -1.07
Ni 0.995 0.999 0.502  1.14
Ni 0.998 0.000 0.000  2.09
Ni 0.580 0.202 0.200  1.09
O 0.865 0.806 0.921  0.15
O 0.039 0.210 0.322  -0.03
O 0.126 0.195 0.079  0.16
O 0.247 0.592 0.980  -0.03
O 0.957 0.789 0.678  -0.03
O 0.484 0.990 0.877  0.19
O 0.133 0.208 0.814  -0.04
O 0.265 0.590 0.477  -0.04
O 0.514 0.011 0.123  0.18
O 0.371 0.609 0.720  -0.03
O 0.551 0.009 0.622  -0.02
O 0.744 0.391 0.778  -0.03
O 0.441 0.992 0.381  0.03
O 0.629 0.390 0.280  -0.03
O 0.939 0.792 0.179  -0.06
O 0.659 0.410 0.020  -0.03
O 0.728 0.409 0.522  -0.04
O 0.345 0.610 0.221  0.03
O 0.125 0.192 0.587  -0.03
O 0.849 0.808 0.420  -0.05
Li 0.990 0.000 0.250  0.01
Li 0.016 0.999 0.749  0.01
Li 0.217 0.400 0.651  0.01
Li 0.599 0.202 0.949  0.00
Li 0.786 0.601 0.351  0.01
Li 0.807 0.600 0.850  0.01
Li 0.584 0.199 0.451  0.00
Li 0.406 0.801 0.550  0.00
Li 0.195 0.400 0.148  0.01
Li 0.393 0.798 0.049  0.00
Co 0.625 0.200 0.700  -0.04

=====

(4)
Crystalline LiCo3Ni2O6 at its relaxed geometry, computed with GGA+U.

Calculated values
Total magnetic moment   8.000 μB/cell
VASP energy   -63.93 eV per cell

a = 2.814 Å, b = 5.599 Å, c = 7.934 Å
α = 104.84°, β = 100.22°, γ = 90.00°
Site moments in Bohr magnetons follow the coordinates.
Positions (direct):
Ni 0.833 0.677 0.666  0.07
Ni 0.167 0.323 0.334  0.07
Li 0.500 0.000 0.000  0.00
O 0.307 0.885 0.615  0.10
O 0.641 0.528 0.281  0.13
O 0.359 0.472 0.719  0.13
O 0.026 0.749 0.052  -0.01
O 0.693 0.115 0.385  0.10
O 0.974 0.251 0.948  -0.01
Co 0.834 0.178 0.669  2.68
Co 0.166 0.822 0.331  2.68
Co 0.500 0.500 0.000  1.95

=====

(5)
Crystalline Li4Co3NiO8 at its relaxed geometry, computed with GGA+U.

Calculated values
Total magnetic moment   0.990 μB/cell
E above lowest polymorph   0.00 kcal/mol of atoms
VASP energy   -87.67 eV per cell

a = 5.771 Å, b = 5.771 Å, c = 5.771 Å
α = 59.34°, β = 59.34°, γ = 59.34°
Site moments in Bohr magnetons follow the coordinates.
Positions (direct):
Co 0.500 0.000 0.500  -0.06
Co 0.500 0.500 0.000  -0.06
Co 0.000 0.500 0.500  -0.06
O 0.755 0.270 0.755  -0.04
O 0.739 0.739 0.739  0.01
O 0.730 0.245 0.245  -0.04
O 0.245 0.730 0.245  -0.04
O 0.261 0.261 0.261  0.01
O 0.755 0.755 0.270  -0.04
O 0.245 0.245 0.730  -0.04
O 0.270 0.755 0.755  -0.04
Li 0.500 0.500 0.500  0.01
Li 0.000 0.500 0.000  0.00
Li 0.000 0.000 0.500  0.00
Li 0.500 0.000 0.000  0.00
Ni 0.000 0.000 0.000  1.46

=====

(6)
Crystalline Li8Co3NiO8 at its relaxed geometry, computed with GGA+U.

Calculated values
Total magnetic moment   0.902 μB/cell
VASP energy   -102.27 eV per cell

a = 5.287 Å, b = 5.361 Å, c = 7.050 Å
α = 89.06°, β = 90.54°, γ = 86.34°
Site moments in Bohr magnetons follow the coordinates.
Positions (direct):
O 0.436 0.085 0.632  -0.02
O 0.952 0.435 0.148  0.01
O 0.447 0.570 0.376  0.00
O 0.471 0.611 0.875  0.00
O 0.926 0.509 0.638  0.01
O 0.435 0.073 0.148  -0.01
O 0.942 0.937 0.356  0.01
O 0.919 0.958 0.860  0.00
Li 0.339 0.449 0.097  0.00
Li 0.687 0.253 0.292  0.00
Li 0.761 0.875 0.590  -0.01
Li 0.669 0.761 0.221  0.00
Li 0.170 0.728 0.756  0.00
Li 0.831 0.566 0.909  0.01
Li 0.320 0.954 0.397  0.00
Li 0.082 0.191 0.687  0.00
Co 0.054 0.074 0.102  -2.58
Co 0.552 0.429 0.631  -2.59
Co 0.071 0.570 0.386  2.60
Ni 0.539 0.982 0.894  1.71

=====

(7)
Crystalline Li3Co2Ni2O8 at its relaxed geometry, computed with GGA+U.

Calculated values
Total magnetic moment   3.000 μB/cell
VASP energy   -79.12 eV per cell

a = 5.795 Å, b = 5.869 Å, c = 5.680 Å
α = 60.46°, β = 60.54°, γ = 90.87°
Site moments in Bohr magnetons follow the coordinates.
Positions (direct):
O 0.760 0.209 0.997  -0.04
O 0.212 0.214 0.537  0.04
O 0.760 0.216 0.523  -0.01
O 0.219 0.228 0.020  0.05
O 0.788 0.786 0.463  0.04
O 0.240 0.784 0.477  -0.01
O 0.781 0.772 0.980  0.05
O 0.240 0.791 0.003  -0.04
Li 0.500 0.500 0.500  0.00
Li 0.000 0.500 0.000  0.01
Li 0.500 0.000 0.500  0.01
Ni 0.500 0.000 0.000  1.18
Ni 0.000 0.500 0.500  1.73
Co 0.000 0.000 0.500  -1.04
Co 0.000 0.000 0.000  1.07

=====

(8)
Crystalline Li5CoNi4O10 at its relaxed geometry, computed with GGA+U.

Calculated values
Total magnetic moment   4.000 μB/cell
VASP energy   -100.68 eV per cell

a = 11.989 Å, b = 11.989 Å, c = 5.057 Å
α = 85.80°, β = 85.80°, γ = 13.84°
Site moments in Bohr magnetons follow the coordinates.
Positions (direct):
O 0.347 0.347 0.558  -0.02
O 0.544 0.544 0.130  0.08
O 0.953 0.953 0.314  -0.06
O 0.251 0.251 0.280  -0.11
O 0.749 0.749 0.720  -0.11
O 0.152 0.152 0.904  -0.11
O 0.047 0.047 0.686  -0.06
O 0.848 0.848 0.096  -0.11
O 0.456 0.456 0.870  0.08
O 0.653 0.653 0.442  -0.02
Li 0.500 0.500 0.500  0.01
Li 0.300 0.300 0.909  0.01
Li 0.700 0.700 0.091  0.01
Li 0.103 0.103 0.286  0.00
Li 0.897 0.897 0.714  0.00
Co 0.000 0.000 0.000  -0.88
Ni 0.400 0.400 0.211  1.62
Ni 0.200 0.200 0.586  1.07
Ni 0.600 0.600 0.789  1.62
Ni 0.800 0.800 0.414  1.07